(1)
This record from Alexandria describes crystalline NpTiS at its relaxed geometry. The functional is PBE-GGA.

Mass density = 10.55 g/cm3
Spin magnetization = 0.00 μB per cell
Raw total energy = -8.8432 eV/atom
Space-group type = C2/m (12)
Energy relative to the elements, uncorrected = -1.57 eV per formula unit

Unit cell a=3.5269 b=8.9149 c=8.1868 alpha=146.38 beta=77.56 gamma=78.59
Closest atoms and distances in Å follow each position.
Fractional positions:
Np 0.9815 0.7499 0.2870  4 Np 2.57, 2 S 2.82
Np 0.0185 0.2501 0.7130  4 Np 2.57, 2 S 2.82
S 0.3444 0.2494 0.0619  4 Ti 2.50
S 0.6556 0.7506 0.9381  4 Ti 2.50
Ti 0.3389 0.7493 0.5729  4 S 2.50
Ti 0.6611 0.2507 0.4271  4 S 2.50

(2)
This record from Alexandria describes crystalline NpTi3S6 at its relaxed geometry. The functional is PBE-GGA.

Mass density = 5.31 g/cm3
Spin magnetization = 9.78 μB per cell
Raw total energy = -7.4886 eV/atom
Space-group type = P2_1/m (11)
Energy relative to the elements, uncorrected = -13.50 eV per formula unit

Unit cell a=3.5521 b=10.2372 c=10.3895 alpha=108.53 beta=90.00 gamma=90.00
Closest atoms and distances in Å follow each position.
Fractional positions:
S 0.2500 0.8652 0.5318  2 Ti 2.57, 3 Np 2.77-2.82
S 0.7500 0.4812 0.6170  4 Ti 2.48-2.63
S 0.7500 0.7969 0.7536  3 Ti 2.44-2.46
S 0.2500 0.2031 0.2464  3 Ti 2.44-2.46
S 0.7500 0.1348 0.4682  2 Ti 2.57, 3 Np 2.77-2.82
S 0.2500 0.5188 0.3830  4 Ti 2.48-2.63
S 0.2500 0.2791 0.7289  3 Ti 2.52-2.64
S 0.7500 0.3838 0.0654  4 Ti 2.45-2.57
S 0.2500 0.0942 0.9096  3 Ti 2.41-2.43
S 0.7500 0.9058 0.0904  3 Ti 2.41-2.43
S 0.2500 0.6162 0.9346  4 Ti 2.45-2.57
S 0.7500 0.7209 0.2711  3 Ti 2.52-2.64
Ti 0.2500 0.8633 0.9223  6 S 2.41-2.57
Ti 0.2500 0.5559 0.1443  6 S 2.45-2.63
Ti 0.2500 0.3229 0.4921  7 S 2.46-2.64
Ti 0.7500 0.4441 0.8557  6 S 2.45-2.63
Ti 0.7500 0.1367 0.0777  6 S 2.41-2.57
Ti 0.7500 0.6771 0.5079  7 S 2.46-2.64
Np 0.7500 0.0487 0.7006  8 S 2.73-2.89
Np 0.2500 0.9513 0.2994  8 S 2.73-2.89

(3)
This record from Alexandria describes crystalline Np2TiS5 at its relaxed geometry. The functional is PBE-GGA.

Mass density = 5.62 g/cm3
Spin magnetization = 16.00 μB per cell
Raw total energy = -8.0804 eV/atom
Space-group type = Cmcm (63)
Energy relative to the elements, uncorrected = -10.23 eV per formula unit

Unit cell a=5.2613 b=6.8233 c=12.1600 alpha=90.00 beta=90.00 gamma=112.68
Closest atoms and distances in Å follow each position.
Fractional positions:
S 0.9480 0.8961 0.6255  1 Ti 2.42, 2 Np 2.63-2.64
S 0.7270 0.4539 0.2500  2 Ti 2.65, 2 Np 2.72
S 0.3186 0.6372 0.4202  1 Ti 2.54, 3 Np 2.67-2.78
S 0.2730 0.5461 0.7500  2 Ti 2.65, 2 Np 2.72
S 0.0520 0.1039 0.3745  1 Ti 2.42, 2 Np 2.63-2.64
S 0.0520 0.1039 0.1255  1 Ti 2.42, 2 Np 2.63-2.64
S 0.6814 0.3628 0.5798  1 Ti 2.54, 3 Np 2.67-2.78
S 0.3186 0.6372 0.0798  1 Ti 2.54, 3 Np 2.67-2.78
S 0.6814 0.3628 0.9202  1 Ti 2.54, 3 Np 2.67-2.78
S 0.9480 0.8961 0.8745  1 Ti 2.42, 2 Np 2.63-2.64
Np 0.8509 0.7017 0.0664  6 S 2.63-2.78
Np 0.8509 0.7017 0.4336  6 S 2.63-2.78
Np 0.1491 0.2983 0.5664  6 S 2.63-2.78
Np 0.1491 0.2983 0.9336  6 S 2.63-2.78
Ti 0.2023 0.4047 0.2500  6 S 2.42-2.65
Ti 0.7977 0.5953 0.7500  6 S 2.42-2.65

(4)
This record from Alexandria describes crystalline Np5TiS6 at its relaxed geometry. The functional is PBE-GGA.

Mass density = 9.91 g/cm3
Spin magnetization = 3.72 μB per cell
Raw total energy = -9.4311 eV/atom
Space-group type = C2/m (12)
Energy relative to the elements, uncorrected = -15.81 eV per formula unit

Unit cell a=6.5876 b=6.5876 c=6.7298 alpha=99.44 beta=99.44 gamma=120.07
Closest atoms and distances in Å follow each position.
Fractional positions:
S 0.7620 0.7620 0.2448  1 Ti 2.62, 5 Np 2.72-2.80
S 0.6010 0.9211 0.7618  1 Ti 2.59, 5 Np 2.71-2.80
S 0.3990 0.0789 0.2382  1 Ti 2.59, 5 Np 2.71-2.80
S 0.2380 0.2380 0.7552  1 Ti 2.62, 5 Np 2.72-2.80
S 0.0789 0.3990 0.2382  1 Ti 2.59, 5 Np 2.71-2.80
S 0.9211 0.6010 0.7618  1 Ti 2.59, 5 Np 2.71-2.80
Np 0.1702 0.8298 0.5000  6 S 2.72-2.80
Np 0.8298 0.1702 0.5000  6 S 2.72-2.80
Np 0.3343 0.6657 0.0000  6 S 2.71-2.72
Np 0.6657 0.3343 0.0000  6 S 2.71-2.72
Np 0.5000 0.5000 0.5000  6 S 2.72-2.80
Ti 0.0000 0.0000 0.0000  6 S 2.59-2.62

(5)
This record from Alexandria describes crystalline Np2TiS5 at its relaxed geometry. The functional is PBE-GGA.

Mass density = 7.54 g/cm3
Spin magnetization = 32.00 μB per cell
Raw total energy = -8.1760 eV/atom
Space-group type = Pnma (62)
Energy relative to the elements, uncorrected = -10.99 eV per formula unit

Unit cell a=7.0296 b=7.8860 c=10.8448 alpha=90.00 beta=90.00 gamma=90.00
Closest atoms and distances in Å follow each position.
Fractional positions:
S 0.4454 0.2500 0.0056  1 Ti 2.58, 4 Np 2.74-2.81
S 0.3646 0.7500 0.3052  1 Ti 2.50
S 0.5546 0.7500 0.9944  1 Ti 2.58, 4 Np 2.74-2.81
S 0.8169 0.4650 0.9309  2 Ti 2.45-2.65
S 0.1505 0.2500 0.7914  1 Ti 2.43
S 0.8646 0.2500 0.1948  1 Ti 2.50
S 0.6831 0.0350 0.4309  2 Ti 2.45-2.65
S 0.0546 0.2500 0.5056  1 Ti 2.58, 4 Np 2.74-2.81
S 0.3169 0.5350 0.5691  2 Ti 2.45-2.65
S 0.3169 0.9650 0.5691  2 Ti 2.45-2.65
S 0.8169 0.0350 0.9309  2 Ti 2.45-2.65
S 0.8495 0.7500 0.2086  1 Ti 2.43
S 0.1354 0.7500 0.8052  1 Ti 2.50
S 0.6505 0.7500 0.7086  1 Ti 2.43
S 0.1831 0.5350 0.0691  2 Ti 2.45-2.65
S 0.1831 0.9650 0.0691  2 Ti 2.45-2.65
S 0.6831 0.4650 0.4309  2 Ti 2.45-2.65
S 0.6354 0.2500 0.6948  1 Ti 2.50
S 0.9454 0.7500 0.4944  1 Ti 2.58, 4 Np 2.74-2.81
S 0.3495 0.2500 0.2914  1 Ti 2.43
Ti 0.4212 0.2500 0.5103  7 S 2.43-2.65
Ti 0.9212 0.7500 0.9897  7 S 2.43-2.65
Ti 0.0788 0.2500 0.0103  7 S 2.43-2.65
Ti 0.5788 0.7500 0.4897  7 S 2.43-2.65
Np 0.5691 0.9988 0.1708  8 S 2.74-2.95
Np 0.5691 0.5012 0.1708  8 S 2.74-2.95
Np 0.0691 0.4988 0.3292  8 S 2.74-2.95
Np 0.0691 0.0012 0.3292  8 S 2.74-2.95
Np 0.4309 0.0012 0.8292  8 S 2.74-2.95
Np 0.4309 0.4988 0.8292  8 S 2.74-2.95
Np 0.9309 0.5012 0.6708  8 S 2.74-2.95
Np 0.9309 0.9988 0.6708  8 S 2.74-2.95

(6)
This record from Alexandria describes crystalline NpTi2S6 at its relaxed geometry. The functional is PBE-GGA.

Mass density = 4.44 g/cm3
Spin magnetization = 3.00 μB per cell
Raw total energy = -7.0984 eV/atom
Space-group type = C2/m (12)
Energy relative to the elements, uncorrected = -10.39 eV per formula unit

Unit cell a=4.6139 b=6.6379 c=7.3355 alpha=74.22 beta=71.67 gamma=69.66
Closest atoms and distances in Å follow each position.
Fractional positions:
S 0.0341 0.1348 0.7969  2 Ti 2.36-2.42
S 0.6400 0.2755 0.4445  1 Ti 2.36
S 0.7426 0.6295 0.8852  3 Ti 2.43-2.59
S 0.3600 0.7245 0.5555  1 Ti 2.36
S 0.9659 0.8652 0.2031  2 Ti 2.36-2.42
S 0.2574 0.3705 0.1148  3 Ti 2.43-2.59
Ti 0.1798 0.7514 0.8891  6 S 2.36-2.59
Ti 0.8202 0.2486 0.1109  6 S 2.36-2.59
Np 0.0000 0.5000 0.5000  8 S 2.76-2.94

(7)
This record from Alexandria describes crystalline Np2TiS4 at its relaxed geometry. The functional is PBE-GGA.

Mass density = 7.31 g/cm3
Spin magnetization = 9.15 μB per cell
Raw total energy = -8.3658 eV/atom
Space-group type = I4/mmm (139)
Energy relative to the elements, uncorrected = -8.27 eV per formula unit

Unit cell a=4.6006 b=4.6006 c=7.6992 alpha=107.38 beta=107.38 gamma=90.00
Closest atoms and distances in Å follow each position.
Fractional positions:
S 0.0000 0.5000 0.0000  2 Ti 2.30
S 0.1779 0.1779 0.3557  1 Ti 2.48, 1 Np 2.67
S 0.5000 0.0000 0.0000  2 Ti 2.30
S 0.8221 0.8221 0.6443  1 Ti 2.48, 1 Np 2.67
Np 0.6306 0.6306 0.2613  5 S 2.67-2.94
Np 0.3694 0.3694 0.7387  5 S 2.67-2.94
Ti 0.0000 0.0000 0.0000  6 S 2.30-2.48

(8)
This record from Alexandria describes crystalline NpTiS3 at its relaxed geometry. The functional is PBE-GGA.

Mass density = 6.89 g/cm3
Spin magnetization = 15.39 μB per cell
Raw total energy = -8.0302 eV/atom
Space-group type = Pnma (62)
Energy relative to the elements, uncorrected = -6.93 eV per formula unit

Unit cell a=3.6272 b=7.8338 c=12.9196 alpha=90.00 beta=90.00 gamma=90.00
Closest atoms and distances in Å follow each position.
Fractional positions:
Np 0.7500 0.5953 0.8229  9 S 2.82-3.13
Np 0.2500 0.4047 0.1771  9 S 2.82-3.13
Np 0.2500 0.9047 0.3229  9 S 2.82-3.13
Np 0.7500 0.0953 0.6771  9 S 2.82-3.13
S 0.2500 0.1563 0.5106  2 Ti 2.48
S 0.7500 0.4698 0.6182  3 Ti 2.38-2.47
S 0.7500 0.1889 0.2886  1 Ti 2.42
S 0.2500 0.8111 0.7114  1 Ti 2.42
S 0.2500 0.3111 0.7886  1 Ti 2.42
S 0.2500 0.5302 0.3818  3 Ti 2.38-2.47
S 0.7500 0.3437 0.0106  2 Ti 2.48
S 0.2500 0.6563 0.9894  2 Ti 2.48
S 0.2500 0.0302 0.1182  3 Ti 2.38-2.47
S 0.7500 0.8437 0.4894  2 Ti 2.48
S 0.7500 0.6889 0.2114  1 Ti 2.42
S 0.7500 0.9698 0.8818  3 Ti 2.38-2.47
Ti 0.2500 0.6523 0.5505  6 S 2.38-2.48
Ti 0.2500 0.1523 0.9495  6 S 2.38-2.48
Ti 0.7500 0.3477 0.4495  6 S 2.38-2.48
Ti 0.7500 0.8477 0.0505  6 S 2.38-2.48

(9)
This record from Alexandria describes crystalline NpTiS2 at its relaxed geometry. The functional is PBE-GGA.

Mass density = 8.10 g/cm3
Spin magnetization = 3.89 μB per cell
Raw total energy = -8.5835 eV/atom
Space-group type = R-3m (166)
Energy relative to the elements, uncorrected = -5.24 eV per formula unit

Unit cell a=3.7291 b=3.7291 c=6.3195 alpha=72.84 beta=72.84 gamma=60.00
Closest atoms and distances in Å follow each position.
Fractional positions:
S 0.7416 0.7416 0.7752  3 Ti 2.53, 3 Np 2.70
S 0.2584 0.2584 0.2248  3 Ti 2.53, 3 Np 2.70
Np 0.5000 0.5000 0.5000  6 S 2.70
Ti 0.0000 0.0000 0.0000  6 S 2.53